! GaSnSe PBE-GGA optimized geometry; values from VASP
! **Formation energy from raw total energies**: -288 meV per atom
! **E_tot**: -22.8 eV/cell
&SYSTEM
  ibrav = 0, nat = 6, ntyp = 3
/
ATOMIC_SPECIES
Ga 69.72 Ga.upf
Sn 118.71 Sn.upf
Se 78.96 Se.upf
CELL_PARAMETERS angstrom
3.8515 0.0000 -0.4185
0.0000 4.6831 0.0000
0.8702 0.0000 8.5806
ATOMIC_POSITIONS crystal
Ga 0.7481 0.2816 0.8512
Ga 0.2519 0.7816 0.1488
Sn 0.2508 0.6246 0.4538
Se 0.7517 0.1257 0.1276
Se 0.2483 0.6257 0.8724
Sn 0.7492 0.1246 0.5462